Pa2Sn2AuN2: relaxed, PBE-GGA.

a = 3.7727 Å, b = 3.7727 Å, c = 13.0827 Å
α = 90.00°, β = 90.00°, γ = 120.00°
Last column: nearest neighbours and their distance in Å.
Space group P-3m1 (No. 164)
Unique sites:
Pa (0.3333, 0.6667, 0.3164) (multiplicity 2)  3 N 2.18
Sn (0.0000, 0.0000, 0.1101) (multiplicity 2)  1 Sn 2.88
Au (0.0000, 0.0000, 0.5000) (multiplicity 1)  6 N 3.24, 6 Pa 3.24
N (0.3333, 0.6667, 0.6833) (multiplicity 2)  3 Pa 2.18

## Properties
M_tot ... 0.16 μB/atom
Uncorrected formation energy ... -4.64 eV/f.u.
Mass density ... 9.5 g/cm3


PaSn2AuN: relaxed, PBE-GGA.

a = 3.9021 Å, b = 3.9021 Å, c = 15.4475 Å
α = 90.00°, β = 90.00°, γ = 90.00°
Last column: nearest neighbours and their distance in Å.
Space group P4/nmm (No. 129, origin choice 2)
Unique sites:
Pa (0.2500, 0.2500, 0.0758) (multiplicity 2)  4 N 2.28
Sn (0.2500, 0.2500, 0.4261) (multiplicity 2)  5 Au 2.84-2.94
Sn (0.2500, 0.2500, 0.7934) (multiplicity 2)  1 Au 2.73
Au (0.2500, 0.2500, 0.6167) (multiplicity 2)  6 Sn 2.73-2.94
N (0.2500, 0.7500, 0.0000) (multiplicity 2)  4 Pa 2.28

## Properties
M_tot ... 0.00 μB/atom
Uncorrected formation energy ... -3.42 eV/f.u.
Mass density ... 9.6 g/cm3


Pa2Te2AuN2: relaxed, PBE-GGA.

a = 3.8425 Å, b = 3.8425 Å, c = 13.3896 Å
α = 90.00°, β = 90.00°, γ = 120.00°
Last column: nearest neighbours and their distance in Å.
Space group P-3m1 (No. 164)
Unique sites:
Pa (0.3333, 0.6667, 0.3178) (multiplicity 2)  3 N 2.23
Te (0.0000, 0.0000, 0.1497) (multiplicity 2)  3 Pa 3.16, 3 N 3.35
Au (0.0000, 0.0000, 0.5000) (multiplicity 1)  6 N 3.11, 6 Pa 3.30
N (0.3333, 0.6667, 0.6630) (multiplicity 2)  3 Pa 2.23

## Properties
M_tot ... 0.00 μB/atom
Uncorrected formation energy ... -6.20 eV/f.u.
Mass density ... 9.1 g/cm3